Density functional theory data (PBE-GGA) for a geometry-optimized Ac6La3In structure.

## Properties
The total energy is -4.266 eV/atom. For the density of states at the Fermi level, the calculation gives 29.9 states/eV per cell. The formation enthalpy at 0 K comes out at -0.049 eV per atom.

Cell: 10.4085 6.1808 13.6657 Å, 90.00 111.96 90.00°
Closest atoms and distances in Å follow each position.
Space group P2_1/m (No. 11)
Symmetry-distinct sites (fractional):
Ac 0.0339 0.2500 0.4290 [2 per cell]  7 La 3.68-3.85, 4 Ac 3.85-4.01
Ac 0.1732 0.7500 0.1594 [2 per cell]  1 In 3.49, 4 La 3.72-3.82, 2 Ac 3.87
Ac 0.2632 0.2500 0.0044 [2 per cell]  3 In 3.53-3.65, 3 La 3.61-3.95, 1 Ac 3.82
Ac 0.3443 0.2500 0.3280 [2 per cell]  4 La 3.82-3.93, 8 Ac 3.82-4.18
Ac 0.3574 0.7500 0.8073 [2 per cell]  3 In 3.55-3.63, 3 La 3.71-3.95, 1 Ac 3.82
Ac 0.4264 0.2500 0.6362 [2 per cell]  1 In 3.53, 3 La 3.81-3.93, 2 Ac 3.82
La 0.0339 0.7500 0.8614 [2 per cell]  9 Ac 3.71-4.14, 2 La 3.85
La 0.1037 0.2500 0.7202 [2 per cell]  8 Ac 3.61-3.95, 3 La 3.78-3.85
La 0.2680 0.7500 0.4729 [2 per cell]  1 La 3.78, 10 Ac 3.81-4.02
In 0.4604 0.7500 0.0861 [2 per cell]  8 Ac 3.49-3.65